PmSm2Er3Sb6 PBE relaxed; total magnetization = 0.00 μB/f.u.; E_form (uncorrected) = -109.53 kJ/mol of atoms
1.0
9.619 -2.209 0.000
9.619 2.209 0.000
-2.008 0.000 8.596
Pm Sm Er Sb
1 2 3 6
Direct
0.000 0.000 0.000
0.333 0.333 0.667
0.667 0.667 0.333
0.000 0.000 0.500
0.333 0.333 0.167
0.667 0.667 0.833
0.165 0.165 0.588
0.169 0.169 0.079
0.498 0.498 0.255
0.502 0.502 0.745
0.831 0.831 0.921
0.835 0.835 0.412